(1)
# Ca2CuSb

A geometry-optimized Ca2CuSb structure (PBE, Alexandria via LeMat-Bulk).

Lattice parameters (Å, degrees): 4.4497 4.4497 6.1638 90.00 90.00 90.00
Positions (direct):
Ca  0.0000  0.0000  0.0000
Ca  0.5000  0.5000  0.4939
Cu  0.0000  0.0000  0.5016
Sb  0.5000  0.5000  0.9936

Output
N(E_F) = 0.28 states/eV per atom
VASP energy = -0.1262 hartree per atom

---

(2)
# Ca2CuSb

A geometry-optimized Ca2CuSb structure (PBE, Alexandria via LeMat-Bulk).

Lattice parameters (Å, degrees): 5.1073 5.1073 3.9519 90.00 90.00 90.00
Positions (direct):
Ca  0.0000  0.5000  0.0000
Ca  0.5000  0.0000  0.0000
Cu  0.0000  0.0000  0.5000
Sb  0.5000  0.5000  0.5000

Output
N(E_F) = 0.31 states/eV per atom
VASP energy = -0.1309 hartree per atom

---

(3)
# CaCuSb3

A geometry-optimized CaCuSb3 structure (PBE, Alexandria via LeMat-Bulk).

Lattice parameters (Å, degrees): 5.6795 5.6795 5.6795 90.00 90.00 90.00
Positions (direct):
Ca  0.0000  0.0000  0.0000
Cu  0.5000  0.5000  0.5000
Sb  0.0000  0.0000  0.5000
Sb  0.0000  0.5000  0.0000
Sb  0.5000  0.0000  0.0000

Output
N(E_F) = 0.34 states/eV per atom
excess energy over the best structure of this formula in the dataset = 969 meV/atom
VASP energy = -0.1012 hartree per atom

---

(4)
# CaCuSb3

A geometry-optimized CaCuSb3 structure (PBE, Alexandria via LeMat-Bulk).

Lattice parameters (Å, degrees): 5.1915 5.1915 5.1915 90.00 90.00 90.00
Positions (direct):
Ca  0.0000  0.0000  0.0000
Cu  0.5000  0.5000  0.5000
Sb  0.0000  0.5000  0.5000
Sb  0.5000  0.0000  0.5000
Sb  0.5000  0.5000  0.0000

Output
N(E_F) = 0.68 states/eV per atom
excess energy over the best structure of this formula in the dataset = 0 meV/atom
VASP energy = -0.1368 hartree per atom